# 1
# Mg9Si5 PBE-GGA optimized geometry
# - E_form (uncorrected): -11 meV/atom
# - Energy relative to the lowest polymorph listed for this composition: 102 meV/atom
data_Mg9Si5
_space_group_name_H-M_alt 'P 1'
_space_group_IT_number 1
_cell_length_a 6.0887
_cell_length_b 7.2676
_cell_length_c 13.8184
_cell_angle_alpha 79.59
_cell_angle_beta 81.57
_cell_angle_gamma 71.26
loop_
_space_group_symop_operation_xyz
'x,y,z'
loop_
_atom_site_label
_atom_site_fract_x
_atom_site_fract_y
_atom_site_fract_z
_atom_site_occupancy
Mg1 0.0000 0.0000 0.0000 1
Mg2 0.0049 0.6566 0.1945 1
Mg3 0.0684 0.4324 0.5711 1
Mg4 0.1058 0.3099 0.8156 1
Mg5 0.1410 0.1167 0.1916 1
Mg6 0.1677 0.9958 0.6891 1
Mg7 0.2733 0.3642 0.3579 1
Mg8 0.3764 0.7482 0.5125 1
Mg9 0.4282 0.1927 0.9829 1
Mg10 0.4713 0.6977 0.2721 1
Mg11 0.5347 0.5496 0.8352 1
Mg12 0.5599 0.7463 0.0237 1
Mg13 0.5837 0.3541 0.1452 1
Mg14 0.5924 0.3041 0.6456 1
Mg15 0.6701 0.0030 0.3378 1
Mg16 0.7353 0.8289 0.6500 1
Mg17 0.9364 0.1144 0.4753 1
Mg18 0.9533 0.7328 0.8586 1
Si1 0.0728 0.7511 0.3869 1
Si2 0.2067 0.6111 0.6935 1
Si3 0.2296 0.5783 0.0138 1
Si4 0.4297 0.1079 0.5212 1
Si5 0.4816 0.9599 0.8328 1
Si6 0.6185 0.9735 0.1482 1
Si7 0.7661 0.1387 0.8261 1
Si8 0.7872 0.5683 0.4221 1
Si9 0.8224 0.3575 0.3004 1
Si10 0.9493 0.4066 0.0046 1

=====

# 2
# Mn2Al2Tc PBE-GGA optimized geometry
# - Energy of formation from the pure elements: 56 meV/atom
# - Energy relative to the lowest polymorph listed for this composition: 87 meV/atom
data_Mn2Al2Tc
_space_group_name_H-M_alt 'P 4/m b m'
_space_group_IT_number 127
_space_group_name_Hall '-P 4 2ab'
_cell_length_a 5.9689
_cell_length_b 5.9689
_cell_length_c 3.9301
_cell_angle_alpha 90.00
_cell_angle_beta 90.00
_cell_angle_gamma 90.00
loop_
_atom_site_label
_atom_site_fract_x
_atom_site_fract_y
_atom_site_fract_z
_atom_site_occupancy
Mn1 0.1248 0.3752 0.0000 1
Al1 0.1760 0.6760 0.5000 1
Tc1 0.0000 0.0000 0.0000 1

=====

# 3
# Co4Rh3 PBE-GGA optimized geometry
# - Energy of formation from the pure elements: 64 meV/atom
data_Co4Rh3
_space_group_name_H-M_alt 'I 4/m m m'
_space_group_IT_number 139
_space_group_name_Hall '-I 4 2'
_cell_length_a 2.6519
_cell_length_b 2.6519
_cell_length_c 24.8896
_cell_angle_alpha 90.00
_cell_angle_beta 90.00
_cell_angle_gamma 90.00
loop_
_atom_site_label
_atom_site_fract_x
_atom_site_fract_y
_atom_site_fract_z
_atom_site_occupancy
Co1 0.0000 0.0000 0.0734 1
Co2 0.0000 0.0000 0.3626 1
Rh1 0.0000 0.0000 0.2106 1
Rh2 0.0000 0.0000 0.5000 1

=====

# 4
# Te3Cl PBE-GGA optimized geometry
# - E_form (uncorrected): 23 meV/atom
# - Energy relative to the lowest polymorph listed for this composition: 82 meV/atom
data_Te3Cl
_space_group_name_H-M_alt 'R -3 m'
_space_group_IT_number 166
_space_group_name_Hall '-R 3 2"'
_cell_length_a 4.1018
_cell_length_b 4.1018
_cell_length_c 25.1976
_cell_angle_alpha 90.00
_cell_angle_beta 90.00
_cell_angle_gamma 120.00
loop_
_atom_site_label
_atom_site_fract_x
_atom_site_fract_y
_atom_site_fract_z
_atom_site_occupancy
Te1 0.0000 0.0000 0.0000 1
Te2 0.0000 0.0000 0.2560 1
Cl1 0.0000 0.0000 0.5000 1

=====

# 5
# Zr4CoSb PBE-GGA optimized geometry
# - E_form (uncorrected): -378 meV/atom
# - Energy relative to the lowest polymorph listed for this composition: 0 meV/atom
data_Zr4CoSb
_space_group_name_H-M_alt 'P 4/m c c'
_space_group_IT_number 124
_space_group_name_Hall '-P 4 2c'
_cell_length_a 6.6321
_cell_length_b 6.6321
_cell_length_c 5.7177
_cell_angle_alpha 90.00
_cell_angle_beta 90.00
_cell_angle_gamma 90.00
loop_
_atom_site_label
_atom_site_fract_x
_atom_site_fract_y
_atom_site_fract_z
_atom_site_occupancy
Zr1 0.1409 0.3194 0.0000 1
Co1 0.0000 0.0000 0.2500 1
Sb1 0.5000 0.5000 0.2500 1

=====

# 6
# Re4Pb4O13 PBE-GGA optimized geometry
# - E_form (uncorrected): -1305 meV/atom
data_Re4Pb4O13
_space_group_name_H-M_alt 'F -4 3 m'
_space_group_IT_number 216
_space_group_name_Hall 'F -4 2 3'
_cell_length_a 10.5370
_cell_length_b 10.5370
_cell_length_c 10.5370
_cell_angle_alpha 90.00
_cell_angle_beta 90.00
_cell_angle_gamma 90.00
loop_
_atom_site_label
_atom_site_fract_x
_atom_site_fract_y
_atom_site_fract_z
_atom_site_occupancy
Re1 0.1250 0.1250 0.1250 1
Pb1 0.1272 0.1272 0.6272 1
O1 0.0000 0.0000 0.1938 1
O2 0.0000 0.0000 0.5000 1
O3 0.0583 0.2500 0.2500 1

=====

# 7
# Pr2SmHoS4 PBE-GGA optimized geometry
# - E_form (uncorrected): -2010 meV/atom
data_Pr2SmHoS4
_space_group_name_H-M_alt 'P 1 2/m 1'
_space_group_IT_number 10
_cell_length_a 6.9461
_cell_length_b 3.9717
_cell_length_c 7.0767
_cell_angle_alpha 90.00
_cell_angle_beta 108.78
_cell_angle_gamma 90.00
loop_
_space_group_symop_operation_xyz
'x,y,z'
'-x,-y,-z'
'-x,y,-z'
'x,-y,z'
loop_
_atom_site_label
_atom_site_fract_x
_atom_site_fract_y
_atom_site_fract_z
_atom_site_occupancy
Pr1 0.0000 0.0000 0.0000 1
Pr2 0.5000 0.5000 0.0000 1
Sm1 0.0000 0.5000 0.5000 1
Ho1 0.5000 0.0000 0.5000 1
S1 0.2512 0.0000 0.7366 1
S2 0.2618 0.5000 0.2675 1

=====

# 8
# LuThH PBE-GGA optimized geometry
# - Energy relative to the lowest polymorph listed for this composition: 158 meV/atom
data_LuThH
_space_group_name_H-M_alt 'I 4 m m'
_space_group_IT_number 107
_space_group_name_Hall 'I 4 -2'
_cell_length_a 3.3459
_cell_length_b 3.3459
_cell_length_c 12.2189
_cell_angle_alpha 90.00
_cell_angle_beta 90.00
_cell_angle_gamma 90.00
loop_
_atom_site_label
_atom_site_fract_x
_atom_site_fract_y
_atom_site_fract_z
_atom_site_occupancy
Lu1 0.0000 0.0000 0.0000 1
Th1 0.0000 0.0000 0.2947 1
H1 0.0000 0.0000 0.4824 1

=====

# 9
# TbAgPbF6 PBE-GGA optimized geometry
# - E_form (uncorrected): -2811 meV/atom
data_TbAgPbF6
_space_group_name_H-M_alt 'P -3 1 c'
_space_group_IT_number 163
_space_group_name_Hall '-P 3 2c'
_cell_length_a 6.0848
_cell_length_b 6.0848
_cell_length_c 10.5068
_cell_angle_alpha 90.00
_cell_angle_beta 90.00
_cell_angle_gamma 120.00
loop_
_atom_site_label
_atom_site_fract_x
_atom_site_fract_y
_atom_site_fract_z
_atom_site_occupancy
Tb1 0.3333 0.6667 0.2500 1
Ag1 0.3333 0.6667 0.7500 1
Pb1 0.0000 0.0000 0.0000 1
F1 0.0376 0.3559 0.1336 1

=====

# 10
# Li5Y4 PBE-GGA optimized geometry
# - Energy of formation from the pure elements: 169 meV/atom
# - Energy relative to the lowest polymorph listed for this composition: 0 meV/atom
data_Li5Y4
_space_group_name_H-M_alt 'I 4/m m m'
_space_group_IT_number 139
_space_group_name_Hall '-I 4 2'
_cell_length_a 11.7145
_cell_length_b 11.7145
_cell_length_c 3.5616
_cell_angle_alpha 90.00
_cell_angle_beta 90.00
_cell_angle_gamma 90.00
loop_
_atom_site_label
_atom_site_fract_x
_atom_site_fract_y
_atom_site_fract_z
_atom_site_occupancy
Li1 0.0000 0.0000 0.0000 1
Li2 0.1828 0.1828 0.5000 1
Y1 0.0000 0.3249 0.0000 1

=====

# 11
# NaHoIn4S8 PBE-GGA optimized geometry
# - E_form (uncorrected): -876 meV/atom
data_NaHoIn4S8
_space_group_name_H-M_alt 'R 3 m'
_space_group_IT_number 160
_space_group_name_Hall 'R 3 -2"'
_cell_length_a 7.8561
_cell_length_b 7.8561
_cell_length_c 19.4068
_cell_angle_alpha 90.00
_cell_angle_beta 90.00
_cell_angle_gamma 120.00
loop_
_atom_site_label
_atom_site_fract_x
_atom_site_fract_y
_atom_site_fract_z
_atom_site_occupancy
Na1 0.0000 0.0000 0.0000 1
Ho1 0.0000 0.0000 0.6348 1
In1 0.0000 0.0000 0.2505 1
In2 0.1750 0.3501 0.4580 1
S1 0.0000 0.0000 0.3869 1
S2 0.0000 0.0000 0.8656 1
S3 0.0200 0.5100 0.3837 1
S4 0.1769 0.3538 0.2072 1

=====

# 12
# VFeH3 PBE-GGA optimized geometry
# - Final energy: -27.28 eV for the cell shown
data_VFeH3
_space_group_name_H-M_alt 'P m -3 m'
_space_group_IT_number 221
_space_group_name_Hall '-P 4 2 3'
_cell_length_a 3.1965
_cell_length_b 3.1965
_cell_length_c 3.1965
_cell_angle_alpha 90.00
_cell_angle_beta 90.00
_cell_angle_gamma 90.00
loop_
_atom_site_label
_atom_site_fract_x
_atom_site_fract_y
_atom_site_fract_z
_atom_site_occupancy
V1 0.0000 0.0000 0.0000 1
Fe1 0.5000 0.5000 0.5000 1
H1 0.0000 0.5000 0.5000 1

=====

# 13
# LiSeCl2 PBE-GGA optimized geometry
# - E_form (uncorrected): -483 meV/atom
# - Energy relative to the lowest polymorph listed for this composition: 317 meV/atom
data_LiSeCl2
_space_group_name_H-M_alt 'P 1 2/m 1'
_space_group_IT_number 10
_cell_length_a 4.8466
_cell_length_b 4.0984
_cell_length_c 4.8728
_cell_angle_alpha 90.00
_cell_angle_beta 93.20
_cell_angle_gamma 90.00
loop_
_space_group_symop_operation_xyz
'x,y,z'
'-x,-y,-z'
'-x,y,-z'
'x,-y,z'
loop_
_atom_site_label
_atom_site_fract_x
_atom_site_fract_y
_atom_site_fract_z
_atom_site_occupancy
Li1 0.0000 0.0000 0.0000 1
Se1 0.5000 0.0000 0.5000 1
Cl1 0.2518 0.5000 0.2519 1

=====

# 14
# SiAsWSe2 PBE-GGA optimized geometry
# - E_form (uncorrected): 1139 meV/atom
# - Energy relative to the lowest polymorph listed for this composition: 392 meV/atom
data_SiAsWSe2
_space_group_name_H-M_alt 'P 4/m m m'
_space_group_IT_number 123
_space_group_name_Hall '-P 4 2'
_cell_length_a 4.6921
_cell_length_b 4.6921
_cell_length_c 4.6812
_cell_angle_alpha 90.00
_cell_angle_beta 90.00
_cell_angle_gamma 90.00
loop_
_atom_site_label
_atom_site_fract_x
_atom_site_fract_y
_atom_site_fract_z
_atom_site_occupancy
Si1 0.0000 0.0000 0.0000 1
As1 0.0000 0.0000 0.5000 1
W1 0.5000 0.5000 0.5000 1
Se1 0.0000 0.5000 0.0000 1

=====

# 15
# K4Pu3AuSe8 PBE-GGA optimized geometry
# - E_form (uncorrected): -1170 meV/atom
data_K4Pu3AuSe8
_space_group_name_H-M_alt 'C 1 2/m 1'
_space_group_IT_number 12
_cell_length_a 15.1956
_cell_length_b 8.2782
_cell_length_c 9.0587
_cell_angle_alpha 90.00
_cell_angle_beta 122.46
_cell_angle_gamma 90.00
loop_
_space_group_symop_operation_xyz
'x,y,z'
'-x,-y,-z'
'-x,y,-z'
'x,-y,z'
'x+1/2,y+1/2,z'
'-x+1/2,-y+1/2,-z'
'-x+1/2,y+1/2,-z'
'x+1/2,-y+1/2,z'
loop_
_atom_site_label
_atom_site_fract_x
_atom_site_fract_y
_atom_site_fract_z
_atom_site_occupancy
K1 0.0000 0.0000 0.0000 1
K2 0.0000 0.5000 0.0000 1
K3 0.2500 0.2500 0.0000 1
Pu1 0.0000 0.0000 0.5000 1
Pu2 0.2500 0.2500 0.5000 1
Au1 0.0000 0.5000 0.5000 1
Se1 0.0195 0.2671 0.3110 1
Se2 0.2321 0.0000 0.7057 1
Se3 0.2387 0.0000 0.2780 1

=====

# 16
# Pu3Pd3Pt2 PBE-GGA optimized geometry
# - Energy of formation from the pure elements: -491 meV/atom
data_Pu3Pd3Pt2
_space_group_name_H-M_alt 'C 1 2/m 1'
_space_group_IT_number 12
_cell_length_a 14.4094
_cell_length_b 4.3948
_cell_length_c 5.3936
_cell_angle_alpha 90.00
_cell_angle_beta 101.12
_cell_angle_gamma 90.00
loop_
_space_group_symop_operation_xyz
'x,y,z'
'-x,-y,-z'
'-x,y,-z'
'x,-y,z'
'x+1/2,y+1/2,z'
'-x+1/2,-y+1/2,-z'
'-x+1/2,y+1/2,-z'
'x+1/2,-y+1/2,z'
loop_
_atom_site_label
_atom_site_fract_x
_atom_site_fract_y
_atom_site_fract_z
_atom_site_occupancy
Pu1 0.0000 0.0000 0.0000 1
Pu2 0.1502 0.0000 0.5888 1
Pd1 0.0000 0.5000 0.5000 1
Pd2 0.1269 0.5000 0.1863 1
Pt1 0.2338 0.0000 0.1370 1

=====

# 17
# BePb5 PBE-GGA optimized geometry
# - Energy of formation from the pure elements: 385 meV/atom
# - Energy relative to the lowest polymorph listed for this composition: 130 meV/atom
data_BePb5
_space_group_name_H-M_alt 'P -6 2 m'
_space_group_IT_number 189
_space_group_name_Hall 'P -6 -2'
_cell_length_a 5.9686
_cell_length_b 5.9686
_cell_length_c 5.6088
_cell_angle_alpha 90.00
_cell_angle_beta 90.00
_cell_angle_gamma 120.00
loop_
_atom_site_label
_atom_site_fract_x
_atom_site_fract_y
_atom_site_fract_z
_atom_site_occupancy
Be1 0.0000 0.0000 0.0000 1
Pb1 0.0000 0.6813 0.5000 1
Pb2 0.3333 0.6667 0.0000 1

=====

# 18
# Cs2ZrAg PBE-GGA optimized geometry
# - Energy of formation from the pure elements: 919 meV/atom
data_Cs2ZrAg
_space_group_name_H-M_alt 'I -4 2 d'
_space_group_IT_number 122
_space_group_name_Hall 'I -4 2bw'
_cell_length_a 13.2618
_cell_length_b 13.2618
_cell_length_c 5.6314
_cell_angle_alpha 90.00
_cell_angle_beta 90.00
_cell_angle_gamma 90.00
loop_
_atom_site_label
_atom_site_fract_x
_atom_site_fract_y
_atom_site_fract_z
_atom_site_occupancy
Cs1 0.1001 0.2500 0.1250 1
Zr1 0.0000 0.0000 0.5000 1
Ag1 0.0000 0.0000 0.0000 1

=====

# 19
# La3TeH PBE-GGA optimized geometry
# - Energy relative to the lowest polymorph listed for this composition: 0 meV/atom
data_La3TeH
_space_group_name_H-M_alt 'P m -3 m'
_space_group_IT_number 221
_space_group_name_Hall '-P 4 2 3'
_cell_length_a 5.0228
_cell_length_b 5.0228
_cell_length_c 5.0228
_cell_angle_alpha 90.00
_cell_angle_beta 90.00
_cell_angle_gamma 90.00
loop_
_atom_site_label
_atom_site_fract_x
_atom_site_fract_y
_atom_site_fract_z
_atom_site_occupancy
La1 0.0000 0.0000 0.5000 1
Te1 0.5000 0.5000 0.5000 1
H1 0.0000 0.0000 0.0000 1

=====

# 20
# Ho8Hg4CS3 PBE-GGA optimized geometry
# - E_form (uncorrected): -1027 meV/atom
data_Ho8Hg4CS3
_space_group_name_H-M_alt 'R -3 m'
_space_group_IT_number 166
_space_group_name_Hall '-R 3 2"'
_cell_length_a 7.5727
_cell_length_b 7.5727
_cell_length_c 22.8489
_cell_angle_alpha 90.00
_cell_angle_beta 90.00
_cell_angle_gamma 120.00
loop_
_atom_site_label
_atom_site_fract_x
_atom_site_fract_y
_atom_site_fract_z
_atom_site_occupancy
Ho1 0.0000 0.0000 0.2366 1
Ho2 0.0266 0.5133 0.2321 1
Hg1 0.0000 0.0000 0.0000 1
Hg2 0.0000 0.5000 0.0000 1
C1 0.0000 0.0000 0.5000 1
S1 0.0000 0.5000 0.5000 1